Entry 1:
Density functional theory data (PBE-GGA) for crystalline CaCd3Pt at its relaxed geometry.

Cell and atoms, written as CIF:
```
data_CaCd3Pt
_symmetry_space_group_name_H-M 'P 1 21/m 1'
_symmetry_Int_Tables_number 11
_cell_length_a 7.111
_cell_length_b 4.188
_cell_length_c 8.290
_cell_angle_alpha 90.00
_cell_angle_beta 105.79
_cell_angle_gamma 90.00
loop_
_symmetry_equiv_pos_as_xyz
'x,y,z'
'-x,-y,-z'
'-x,y+1/2,-z'
'x,-y+1/2,z'
loop_
_atom_site_label
_atom_site_fract_x
_atom_site_fract_y
_atom_site_fract_z
Ca1 0.204 0.250 0.181
Cd1 0.081 0.250 0.655
Cd2 0.325 0.750 0.906
Cd3 0.340 0.750 0.518
Pt1 0.492 0.250 0.752
```

Values from the calculation:
The raw total energy is -2.568 eV per atom. The calculation puts the magnetization at 0.00 μB/atom. The energy above the most stable polymorph in this dataset is 0.000 eV/atom.


Entry 2:
Density functional theory data (PBE-GGA) for crystalline Ca3Cd2Pt at its relaxed geometry.

Cell and atoms, written as CIF:
```
data_Ca3Cd2Pt
_symmetry_space_group_name_H-M 'C m m m'
_symmetry_Int_Tables_number 65
_symmetry_space_group_name_Hall '-C 2 2'
_cell_length_a 5.186
_cell_length_b 15.690
_cell_length_c 7.558
_cell_angle_alpha 90.00
_cell_angle_beta 90.00
_cell_angle_gamma 90.00
loop_
_atom_site_label
_atom_site_fract_x
_atom_site_fract_y
_atom_site_fract_z
Ca1 0.000 0.000 0.236
Ca2 0.000 0.326 0.224
Cd1 0.000 0.165 0.500
Cd2 0.000 0.500 0.000
Cd3 0.000 0.500 0.500
Pt1 0.000 0.157 0.000
```

Values from the calculation:
The raw total energy is -2.838 eV per atom. The calculation puts the magnetization at 0.00 μB/atom.